Density functional theory data (PBE) for a relaxed RbScRu2 crystal.

Cell: 4.956 4.956 18.130 Å, 90.00 90.00 90.00°
Space group I-42d (No. 122)
One atom of each set of equivalent atoms:
Rb: 0.000 0.000 0.000 (multiplicity 4)
Sc: 0.000 0.000 0.500 (multiplicity 4)
Ru: 0.021 0.250 0.625 (multiplicity 8)

Results
* DFT formation energy: 987 meV/atom
* electronic total energy: -5.48 eV/atom
* density of states at the Fermi level: 19.2 states/eV/cell
* V: 445.3 Å³/cell

---

Density functional theory data (PBE) for a relaxed Tm4Bi3As crystal.

Cell: 8.727 12.280 4.320 Å, 90.00 90.00 90.00°
Space group Cmmm (No. 65)
One atom of each set of equivalent atoms:
Tm: 0.000 0.241 0.000 (multiplicity 4)
Tm: 0.234 0.000 0.500 (multiplicity 4)
Bi: 0.000 0.500 0.000 (multiplicity 2)
Bi: 0.250 0.250 0.500 (multiplicity 4)
As: 0.000 0.000 0.000 (multiplicity 2)

Results
* DFT formation energy: -926 meV/atom
* electronic total energy: -5.20 eV/atom
* density of states at the Fermi level: 2.6 states/eV/cell
* V: 462.9 Å³/cell

---

Density functional theory data (PBE) for a relaxed NbCo2Os2 crystal.

Cell: 7.203 7.203 2.679 Å, 90.00 90.00 90.00°
Space group P4/mbm (No. 127)
One atom of each set of equivalent atoms:
Nb: 0.000 0.000 0.000 (multiplicity 2)
Co: 0.169 0.331 0.500 (multiplicity 4)
Os: 0.127 0.627 0.000 (multiplicity 4)

Results
* DFT formation energy: 149 meV/atom
* electronic total energy: -9.20 eV/atom
* density of states at the Fermi level: 12.5 states/eV/cell
* V: 139.0 Å³/cell

---

Density functional theory data (PBE) for a relaxed Lu2AlZn crystal.

Cell: 3.504 3.504 7.048 Å, 90.00 90.00 90.00°
Space group P4/mmm (No. 123)
One atom of each set of equivalent atoms:
Lu: 0.000 0.000 0.244 (multiplicity 2)
Al: 0.500 0.500 0.500 (multiplicity 1)
Zn: 0.500 0.500 0.000 (multiplicity 1)

Results
* DFT formation energy: -377 meV/atom
* electronic total energy: -3.89 eV/atom
* density of states at the Fermi level: 2.7 states/eV/cell
* V: 86.5 Å³/cell

---

Look up the DFT formation energy of the second one. -926 meV/atom

---

The highest electronic total energy belongs to which entry? Lu2AlZn

---

What did the first record say?
Density functional theory data (PBE) for a relaxed RbScRu2 crystal.

Cell: 4.956 4.956 18.130 Å, 90.00 90.00 90.00°
Space group I-42d (No. 122)
One atom of each set of equivalent atoms:
Rb: 0.000 0.000 0.000 (multiplicity 4)
Sc: 0.000 0.000 0.500 (multiplicity 4)
Ru: 0.021 0.250 0.625 (multiplicity 8)

Results
* DFT formation energy: 987 meV/atom
* electronic total energy: -5.48 eV/atom
* density of states at the Fermi level: 19.2 states/eV/cell
* V: 445.3 Å³/cell

---

Look up the density of states at the Fermi level of the fourth one. 2.7 states/eV/cell